Compound: Sr2InSiPt6
Source: Alexandria via LeMat-Bulk
Functional: GGA-PBE
Structure: optimized geometry

a b c (Å): 6.871 6.871 6.871
angles (deg): 60.00 60.00 60.00
Positions (direct):
1 Sr 0.250 0.250 0.250
2 Sr 0.750 0.750 0.750
3 In 0.000 0.000 0.000
4 Si 0.500 0.500 0.500
5 Pt 0.267 0.267 0.733
6 Pt 0.267 0.733 0.267
7 Pt 0.267 0.733 0.733
8 Pt 0.733 0.267 0.267
9 Pt 0.733 0.267 0.733
10 Pt 0.733 0.733 0.267

Output
The value obtained for the total DFT energy (no corrections) is -5.110 eV/atom. The uncorrected formation energy comes out at -0.333 eV/atom.